Li4Si3Ni2O10 | GGA+U | relaxed

Output
- raw total energy (eV per atom) = -6.38
- crystal system = monoclinic

Cell and atoms, written as CIF:
```
data_Li4Si3Ni2O10
_symmetry_space_group_name_H-M 'C 1 2/c 1'
_symmetry_Int_Tables_number 15
_symmetry_space_group_name_Hall '-C 2yc'
_cell_length_a 9.134
_cell_length_b 5.493
_cell_length_c 16.751
_cell_angle_alpha 90.00
_cell_angle_beta 98.01
_cell_angle_gamma 90.00
loop_
_atom_site_label
_atom_site_fract_x
_atom_site_fract_y
_atom_site_fract_z
_atom_site_occupancy
Li1 0.194 0.126 0.224 1
Li2 0.246 0.424 0.447 1
Si1 0.000 0.385 0.750 1
Si2 0.066 0.096 0.901 1
Ni1 0.097 0.407 0.081 1
O1 0.065 0.347 0.955 1
O2 0.095 0.043 0.110 1
O3 0.102 0.194 0.811 1
O4 0.117 0.464 0.206 1
O5 0.207 0.077 0.434 1
```